CsLaPS2 PBE-GGA relaxed; ΔE to the lowest computed polymorph = 0.000 eV per atom
1.0
5.622 0.000 0.000
0.000 5.622 0.000
0.000 0.000 5.961
Cs La P S
1 1 1 2
Direct
0.000 0.000 0.000
0.500 0.500 0.500
0.500 0.500 0.000
0.000 0.500 0.500
0.500 0.000 0.500

***

PmTm5In3 PBE-GGA relaxed; energy relative to the elements = -298 kJ/mol of formula units
1.0
9.275 0.000 0.000
-4.637 8.032 0.000
0.000 0.000 6.681
Pm Tm In
2 10 6
Direct
0.000 0.000 0.000
0.000 0.000 0.500
0.000 0.331 0.250
0.000 0.669 0.750
0.331 0.000 0.250
0.331 0.331 0.750
0.333 0.667 0.000
0.333 0.667 0.500
0.667 0.333 0.000
0.667 0.333 0.500
0.669 0.000 0.750
0.669 0.669 0.250
0.000 0.339 0.750
0.000 0.661 0.250
0.339 0.000 0.750
0.339 0.339 0.250
0.661 0.000 0.250
0.661 0.661 0.750

***

Ca3Pm3Au4 PBE-GGA relaxed; energy relative to the elements = -660 kJ/mol of formula units
1.0
4.013 0.000 0.000
0.000 5.823 5.907
0.000 -5.823 5.907
Ca Pm Au
3 3 4
Direct
0.000 0.000 0.000
0.500 0.338 0.840
0.500 0.840 0.338
0.000 0.183 0.496
0.000 0.496 0.183
0.000 0.687 0.687
0.500 0.208 0.208
0.500 0.479 0.479
0.500 0.698 0.977
0.500 0.977 0.698

***

SiPbN2O PBE-GGA relaxed; electronic total energy = -31.25 eV for the cell shown
1.0
3.845 0.000 0.000
0.000 3.845 0.000
0.000 0.000 3.565
Si Pb N O
1 1 2 1
Direct
0.000 0.000 0.000
0.500 0.500 0.500
0.000 0.500 0.000
0.500 0.000 0.000
0.000 0.000 0.500

***

SrReRu2 PBE-GGA relaxed; ΔE to the lowest computed polymorph = 0.385 eV per atom; energy relative to the elements = 318 kJ/mol of formula units
1.0
2.842 0.000 0.000
-1.421 2.461 0.000
0.000 0.000 29.579
Sr Re Ru
3 3 6
Direct
0.000 0.000 0.000
0.333 0.667 0.667
0.667 0.333 0.333
0.000 0.000 0.235
0.333 0.667 0.902
0.667 0.333 0.569
0.000 0.000 0.498
0.000 0.000 0.759
0.333 0.667 0.164
0.333 0.667 0.426
0.667 0.333 0.093
0.667 0.333 0.831

***

BaYGa2Pt2 PBE-GGA relaxed; energy relative to the elements = -547 kJ/mol of formula units
1.0
4.499 0.000 0.000
-2.250 3.896 0.000
0.000 0.000 8.113
Ba Y Ga Pt
1 1 2 2
Direct
0.000 0.000 0.000
0.000 0.000 0.500
0.333 0.667 0.702
0.667 0.333 0.298
0.333 0.667 0.306
0.667 0.333 0.694

***

CaTa2Al PBE-GGA relaxed; energy relative to the elements = 156 kJ/mol of formula units
1.0
2.990 0.000 0.000
-1.495 2.590 0.000
0.000 0.000 31.104
Ca Ta Al
3 6 3
Direct
0.000 0.000 0.000
0.333 0.667 0.667
0.667 0.333 0.333
0.000 0.000 0.242
0.000 0.000 0.758
0.333 0.667 0.425
0.333 0.667 0.909
0.667 0.333 0.091
0.667 0.333 0.575
0.000 0.000 0.500
0.333 0.667 0.167
0.667 0.333 0.833

***

LaSi3Tc3 PBE-GGA relaxed; ΔE to the lowest computed polymorph = 0.283 eV per atom
1.0
3.253 1.878 7.194
-3.253 1.878 7.194
0.000 -3.757 7.194
La Si Tc
2 6 6
Direct
0.165 0.165 0.165
0.835 0.835 0.835
0.181 0.655 0.381
0.345 0.619 0.819
0.381 0.181 0.655
0.619 0.819 0.345
0.655 0.381 0.181
0.819 0.345 0.619
0.047 0.582 0.239
0.239 0.047 0.582
0.418 0.761 0.953
0.582 0.239 0.047
0.761 0.953 0.418
0.953 0.418 0.761

***

BeIrPb2 PBE-GGA relaxed; energy relative to the elements = 242 kJ/mol of formula units
1.0
3.724 0.000 0.000
0.000 3.353 0.000
-1.310 0.000 6.411
Be Ir Pb
1 1 2
Direct
0.000 0.000 0.000
0.000 0.000 0.500
0.454 0.500 0.251
0.546 0.500 0.749

***

BaNa2Sr7 PBE-GGA relaxed; ΔE to the lowest computed polymorph = 0.115 eV per atom; energy relative to the elements = 274 kJ/mol of formula units
1.0
5.490 -8.790 0.000
5.490 8.790 0.000
0.000 0.000 6.614
Ba Na Sr
1 2 7
Direct
0.000 0.000 0.000
0.300 0.700 0.500
0.700 0.300 0.500
0.059 0.313 0.500
0.258 0.742 0.000
0.313 0.059 0.500
0.500 0.500 0.500
0.687 0.941 0.500
0.742 0.258 0.000
0.941 0.687 0.500

***

YSc2Zn2Ga2 PBE-GGA relaxed; energy relative to the elements = -279 kJ/mol of formula units
1.0
2.187 1.263 8.540
-2.187 1.263 8.540
0.000 -2.525 8.540
Y Sc Zn Ga
1 2 2 2
Direct
0.000 0.000 0.000
0.130 0.130 0.130
0.870 0.870 0.870
0.407 0.407 0.407
0.593 0.593 0.593
0.255 0.255 0.255
0.745 0.745 0.745

***

SrHgBiPd PBE-GGA relaxed; energy relative to the elements = -158 kJ/mol of formula units
1.0
7.457 0.000 0.000
0.000 7.457 0.000
0.000 0.000 7.457
Sr Hg Bi Pd
4 4 4 4
Direct
0.000 0.000 0.000
0.000 0.500 0.500
0.500 0.000 0.500
0.500 0.500 0.000
0.250 0.250 0.750
0.250 0.750 0.250
0.750 0.250 0.250
0.750 0.750 0.750
0.000 0.000 0.500
0.000 0.500 0.000
0.500 0.000 0.000
0.500 0.500 0.500
0.250 0.250 0.250
0.250 0.750 0.750
0.750 0.250 0.750
0.750 0.750 0.250

***

Rb6Tm3I14 PBE-GGA relaxed; electronic total energy = -71.91 eV for the cell shown
1.0
13.288 0.000 0.000
-6.644 11.508 0.000
0.000 0.000 7.633
Rb Tm I
6 3 14
Direct
0.031 0.565 0.000
0.308 0.108 0.490
0.435 0.466 0.000
0.534 0.969 0.000
0.800 0.692 0.490
0.892 0.200 0.490
0.000 0.000 0.907
0.333 0.667 0.417
0.667 0.333 0.781
0.000 0.000 0.286
0.086 0.856 0.771
0.144 0.230 0.771
0.184 0.436 0.279
0.252 0.816 0.279
0.333 0.667 0.796
0.449 0.195 0.001
0.530 0.414 0.557
0.564 0.748 0.279
0.586 0.117 0.557
0.746 0.551 0.001
0.770 0.914 0.771
0.805 0.254 0.001
0.883 0.470 0.557

***

Li2Fe2Cl7 PBE-GGA relaxed; electronic total energy = -45.80 eV for the cell shown
1.0
3.422 -5.617 0.000
3.422 5.617 0.000
-2.893 0.000 9.122
Li Fe Cl
2 2 7
Direct
0.172 0.828 0.000
0.828 0.172 0.000
0.082 0.082 0.749
0.918 0.918 0.251
0.000 0.000 0.500
0.068 0.409 0.838
0.197 0.197 0.174
0.409 0.068 0.838
0.591 0.932 0.162
0.803 0.803 0.826
0.932 0.591 0.162

***

DyThGaTc PBE-GGA relaxed; ΔE to the lowest computed polymorph = 0.000 eV per atom; energy relative to the elements = -149 kJ/mol of formula units
1.0
3.965 0.000 0.000
0.000 4.098 0.000
0.000 0.000 11.547
Dy Th Ga Tc
2 2 2 2
Direct
0.000 0.000 0.000
0.000 0.500 0.500
0.500 0.000 0.723
0.500 0.500 0.223
0.500 0.000 0.425
0.500 0.500 0.925
0.000 0.000 0.270
0.000 0.500 0.770

***

TbPu2S4 PBE-GGA relaxed; electronic total energy = -125.17 eV for the cell shown
1.0
7.065 0.000 0.000
0.000 11.384 0.000
0.000 0.000 4.086
Tb Pu S
2 4 8
Direct
0.000 0.000 0.000
0.500 0.500 0.000
0.096 0.316 0.500
0.404 0.816 0.500
0.596 0.184 0.500
0.904 0.684 0.500
0.133 0.779 0.000
0.248 0.548 0.500
0.252 0.048 0.500
0.367 0.279 0.000
0.633 0.721 0.000
0.748 0.952 0.500
0.752 0.452 0.500
0.867 0.221 0.000

***

AcPmTlRu PBE-GGA relaxed; energy relative to the elements = -26 kJ/mol of formula units
1.0
7.607 0.000 0.000
0.000 7.607 0.000
0.000 0.000 7.607
Ac Pm Tl Ru
4 4 4 4
Direct
0.000 0.000 0.000
0.000 0.500 0.500
0.500 0.000 0.500
0.500 0.500 0.000
0.000 0.000 0.500
0.000 0.500 0.000
0.500 0.000 0.000
0.500 0.500 0.500
0.250 0.250 0.750
0.250 0.750 0.250
0.750 0.250 0.250
0.750 0.750 0.750
0.250 0.250 0.250
0.250 0.750 0.750
0.750 0.250 0.750
0.750 0.750 0.250

***

InSnHgAu3 PBE-GGA relaxed; energy relative to the elements = -38 kJ/mol of formula units
1.0
7.599 0.000 0.000
0.000 4.134 0.000
-1.993 0.000 8.497
In Sn Hg Au
2 2 2 6
Direct
0.175 0.250 0.096
0.825 0.750 0.904
0.281 0.750 0.727
0.719 0.250 0.273
0.387 0.750 0.397
0.613 0.250 0.603
0.019 0.250 0.770
0.133 0.250 0.468
0.437 0.750 0.085
0.563 0.250 0.915
0.867 0.750 0.532
0.981 0.750 0.230

***

SrCr2Re PBE-GGA relaxed; ΔE to the lowest computed polymorph = 0.000 eV per atom; energy relative to the elements = 258 kJ/mol of formula units
1.0
3.040 0.000 0.000
0.000 3.697 0.000
0.000 0.000 6.997
Sr Cr Re
1 2 1
Direct
0.000 0.000 0.000
0.500 0.500 0.356
0.500 0.500 0.644
0.000 0.000 0.500

***

SrTm3Fe PBE-GGA relaxed; energy relative to the elements = 29 kJ/mol of formula units
1.0
5.299 0.000 0.000
0.000 5.299 0.000
0.000 0.000 5.299
Sr Tm Fe
1 3 1
Direct
0.000 0.000 0.000
0.000 0.500 0.500
0.500 0.000 0.500
0.500 0.500 0.000
0.500 0.500 0.500